[1]
DFT (GGA-PBE) results for a geometry-optimized InAg8Au5 structure.

Structure (POSCAR):
```
InAg8Au5
1.0
7.1013 -0.1332 0.2287
-2.5279 6.6375 -0.2289
-2.0452 -3.4218 5.8828
Au Ag In
5 8 1
Cartesian
2.5280 -1.7775 3.0558 Au
3.4342 5.2782 1.1916 Au
2.5092 1.8651 4.2277 Au
-0.7683 1.7709 0.7033 Au
-0.1188 -2.7492 5.6427 Au
3.8518 0.5273 2.0477 Ag
-0.9956 4.5772 0.2983 Ag
-2.3490 3.2762 2.5955 Ag
1.7211 2.9824 1.5646 Ag
0.0710 3.1725 4.9746 Ag
1.8325 -0.6209 5.5575 Ag
5.0648 -1.9235 4.0600 Ag
0.9162 0.3387 2.4323 Ag
-1.0225 0.7191 4.3548 In
```

Values from the calculation:
- Energy relative to the elements: 0.073 eV/atom
- Total DFT energy (no corrections): -0.2148 Ry per atom
- Symmetry: I-4 (82)
- D(E_F): 0.36 states/eV per atom


[2]
DFT (GGA-PBE) results for a geometry-optimized Ni2Pt structure.

Structure (POSCAR):
```
Ni2Pt
1.0
-0.6424 2.0596 3.6139
-3.2577 -0.9426 -2.4928
-0.5695 -4.4085 2.4112
Ni Pt
4 2
Cartesian
-2.5283 -1.0440 0.1456 Ni
-1.9413 -2.2475 3.3867 Ni
0.0000 0.0000 0.0000 Ni
-0.2847 -2.2043 1.2056 Ni
-1.6565 -0.0433 2.1811 Pt
-2.8130 -3.2483 1.3512 Pt
```

Values from the calculation:
- Energy relative to the elements: 0.064 eV/atom
- Total DFT energy (no corrections): -0.4266 Ry per atom
- Symmetry: P6_3/mmc (194)
- D(E_F): 1.88 states/eV per atom


Among the records above, which one has the lowest total DFT energy (no corrections)? Ni2Pt


Look up the D(E_F) of the second one. 1.88 states/eV per atom


Copy entry 2 word for word.
DFT (GGA-PBE) results for a geometry-optimized Ni2Pt structure.

Structure (POSCAR):
```
Ni2Pt
1.0
-0.6424 2.0596 3.6139
-3.2577 -0.9426 -2.4928
-0.5695 -4.4085 2.4112
Ni Pt
4 2
Cartesian
-2.5283 -1.0440 0.1456 Ni
-1.9413 -2.2475 3.3867 Ni
0.0000 0.0000 0.0000 Ni
-0.2847 -2.2043 1.2056 Ni
-1.6565 -0.0433 2.1811 Pt
-2.8130 -3.2483 1.3512 Pt
```

Values from the calculation:
- Energy relative to the elements: 0.064 eV/atom
- Total DFT energy (no corrections): -0.4266 Ry per atom
- Symmetry: P6_3/mmc (194)
- D(E_F): 1.88 states/eV per atom